No. 1
# UCo4Mo

UCo4Mo after structural relaxation (PBE, Alexandria).

Cell lengths 4.8058, 4.8058, 4.8058 Å; angles 60.00, 60.00, 60.00 degrees
Last column: nearest neighbours and their distance in Å.
Sites, in units of the cell vectors:
U 0.2500 0.2500 0.2500  12 Co 2.82, 4 Mo 2.94
Mo 0.0000 0.0000 0.0000  12 Co 2.82, 4 U 2.94
Co 0.6260 0.6260 0.6260  6 Co 2.38-2.42
Co 0.1220 0.6260 0.6260  6 Co 2.38-2.42
Co 0.6260 0.6260 0.1220  6 Co 2.38-2.42
Co 0.6260 0.1220 0.6260  6 Co 2.38-2.42

Computed properties:
- symmetry = No. 216
- DFT formation energy (meV per atom) = -3
- energy (eV/atom) = -8.427
- crystal system = cubic
- M_tot (μB per cell) = 0.6


No. 2
# NaCd7Ag3

NaCd7Ag3 after structural relaxation (PBE, Alexandria).

Cell lengths 7.2159, 6.2666, 6.2666 Å; angles 120.00, 90.00, 90.00 degrees
Last column: nearest neighbours and their distance in Å.
Sites, in units of the cell vectors:
Cd 0.1190 0.6667 0.3333  3 Ag 2.99, 9 Cd 3.14
Cd 0.4690 0.8385 0.1615  2 Ag 2.92, 7 Cd 3.04-3.23, 2 Na 3.14
Cd 0.0943 0.1618 0.3236  2 Ag 2.90, 8 Cd 3.04-3.22, 1 Na 3.18
Cd 0.4690 0.8385 0.6770  2 Ag 2.92, 7 Cd 3.04-3.23, 2 Na 3.14
Cd 0.0943 0.1618 0.8382  2 Ag 2.90, 8 Cd 3.04-3.22, 1 Na 3.18
Cd 0.0943 0.6764 0.8382  2 Ag 2.90, 8 Cd 3.04-3.22, 1 Na 3.18
Cd 0.4690 0.3230 0.1615  2 Ag 2.92, 7 Cd 3.04-3.23, 2 Na 3.14
Ag 0.7850 0.9940 0.4970  5 Cd 2.90-2.99, 1 Na 3.03, 4 Ag 3.08-3.19
Ag 0.7850 0.5030 0.4970  5 Cd 2.90-2.99, 1 Na 3.03, 4 Ag 3.08-3.19
Ag 0.7850 0.5030 0.0060  5 Cd 2.90-2.99, 1 Na 3.03, 4 Ag 3.08-3.19
Na 0.4513 0.3333 0.6667  3 Ag 3.03, 9 Cd 3.14-3.18

Computed properties:
- symmetry = No. 156
- DFT formation energy (meV per atom) = 30
- energy (eV/atom) = -1.450
- crystal system = trigonal
- M_tot (μB per cell) = 0.0


No. 3
# Ce2Ni2H7

Ce2Ni2H7 after structural relaxation (PBE, Alexandria).

Cell lengths 3.5892, 5.8798, 5.8798 Å; angles 119.12, 80.97, 80.97 degrees
Last column: nearest neighbours and their distance in Å.
Sites, in units of the cell vectors:
Ce 0.5000 0.1750 0.8250  8 H 2.32-2.52
Ce 0.5000 0.8250 0.1750  8 H 2.32-2.52
H 0.3185 0.3509 0.3509  3 Ni 1.77-1.83
H 0.8675 0.1061 0.4243  1 Ni 1.65
H 0.0000 0.0000 0.0000  2 Ni 1.86
H 0.1325 0.5757 0.8939  1 Ni 1.65
H 0.6815 0.6491 0.6491  3 Ni 1.77-1.83
H 0.1325 0.8939 0.5757  1 Ni 1.65
H 0.8675 0.4243 0.1061  1 Ni 1.65
Ni 0.1785 0.6721 0.6721  5 H 1.65-1.83
Ni 0.8215 0.3279 0.3279  5 H 1.65-1.83

Computed properties:
- symmetry = No. 12
- energy (eV/atom) = -4.556
- crystal system = monoclinic
- M_tot (μB per cell) = 2.2


No. 4
# MgSc2Hg2

MgSc2Hg2 after structural relaxation (PBE, Alexandria).

Cell lengths 7.8121, 7.8121, 3.6980 Å; angles 90.00, 90.00, 90.00 degrees
Last column: nearest neighbours and their distance in Å.
Sites, in units of the cell vectors:
Hg 0.8634 0.6366 0.0000  6 Sc 2.88-3.00, 1 Hg 3.02, 2 Mg 3.03
Hg 0.1366 0.3634 0.0000  6 Sc 2.88-3.00, 1 Hg 3.02, 2 Mg 3.03
Hg 0.6366 0.1366 0.0000  6 Sc 2.88-3.00, 1 Hg 3.02, 2 Mg 3.03
Hg 0.3634 0.8634 0.0000  6 Sc 2.88-3.00, 1 Hg 3.02, 2 Mg 3.03
Sc 0.8362 0.3362 0.5000  6 Hg 2.88-3.00
Sc 0.3362 0.1638 0.5000  6 Hg 2.88-3.00
Sc 0.6638 0.8362 0.5000  6 Hg 2.88-3.00
Sc 0.1638 0.6638 0.5000  6 Hg 2.88-3.00
Mg 0.5000 0.5000 0.0000  4 Hg 3.03
Mg 0.0000 0.0000 0.0000  4 Hg 3.03

Computed properties:
- distance to the lowest polymorph of the same formula (meV per atom) = 0
- symmetry = No. 127
- DFT formation energy (meV per atom) = -342
- energy (eV/atom) = -3.314
- crystal system = tetragonal
- M_tot (μB per cell) = 0.0


No. 5
# ZrAl2Te

ZrAl2Te after structural relaxation (PBE, Alexandria).

Cell lengths 3.1760, 3.1760, 8.8011 Å; angles 90.00, 90.00, 90.00 degrees
Last column: nearest neighbours and their distance in Å.
Sites, in units of the cell vectors:
Al 0.0000 0.0000 0.9984  8 Al 2.84-3.18, 4 Zr 2.98
Al 0.5000 0.5000 0.1961  8 Al 2.84-3.18
Te 0.0000 0.0000 0.5295  4 Zr 3.12, 4 Te 3.18
Zr 0.5000 0.5000 0.7760  4 Al 2.98, 4 Te 3.12, 4 Zr 3.18

Computed properties:
- raw formation energy (eV per atom) = -0.092
- symmetry = No. 99
- energy (eV/atom) = -4.886
- crystal system = tetragonal
- M_tot (μB per cell) = 0.0


No. 6
# ScAlIn2

ScAlIn2 after structural relaxation (PBE, Alexandria).

Cell lengths 3.8170, 3.8170, 6.1502 Å; angles 90.00, 90.00, 90.00 degrees
Last column: nearest neighbours and their distance in Å.
Sites, in units of the cell vectors:
In 0.0000 0.0000 0.9902  2 Sc 2.97-3.18, 4 Al 3.09, 4 In 3.16
In 0.5000 0.5000 0.2564  2 Al 3.01-3.14, 4 Sc 3.11, 4 In 3.16
Sc 0.0000 0.0000 0.5080  6 In 2.97-3.18, 4 Al 3.07
Al 0.5000 0.5000 0.7454  6 In 3.01-3.14, 4 Sc 3.07

Computed properties:
- symmetry = No. 99
- DFT formation energy (meV per atom) = -137
- energy (eV/atom) = -4.024
- crystal system = tetragonal
- M_tot (μB per cell) = 0.0


No. 7
# CaSm3Tl2

CaSm3Tl2 after structural relaxation (PBE, Alexandria).

Cell lengths 5.5186, 9.7756, 9.2444 Å; angles 125.06, 90.00, 106.40 degrees
Last column: nearest neighbours and their distance in Å.
Sites, in units of the cell vectors:
Tl 0.7740 0.5480 0.1561  5 Sm 3.21-3.41, 3 Ca 3.44-3.55
Tl 0.5193 0.0386 0.8663  1 Tl 2.96, 2 Sm 3.02-3.17
Tl 0.2260 0.4520 0.8439  5 Sm 3.21-3.41, 3 Ca 3.44-3.55
Tl 0.4807 0.9614 0.1337  1 Tl 2.96, 2 Sm 3.02-3.17
Sm 0.3830 0.7659 0.3006  3 Tl 3.02-3.21
Sm 0.6170 0.2341 0.6994  3 Tl 3.02-3.21
Sm 0.6917 0.3833 0.3869  2 Tl 3.17-3.30, 2 Sm 3.36
Sm 0.9403 0.8805 0.5955  3 Tl 3.32-3.41, 3 Sm 3.56-3.59, 1 Ca 3.70
Sm 0.3083 0.6167 0.6131  2 Tl 3.17-3.30, 2 Sm 3.36
Sm 0.0597 0.1195 0.4045  3 Tl 3.32-3.41, 3 Sm 3.56-3.59, 1 Ca 3.70
Ca 0.8642 0.7285 0.9238  5 Tl 3.33-3.55, 3 Sm 3.65-3.70
Ca 0.1358 0.2715 0.0762  5 Tl 3.33-3.55, 3 Sm 3.65-3.70

Computed properties:
- distance to the lowest polymorph of the same formula (meV per atom) = 144
- symmetry = No. 12
- DFT formation energy (meV per atom) = -168
- energy (eV/atom) = -3.650
- crystal system = monoclinic
- M_tot (μB per cell) = 0.0


No. 8
# Ge2RhAu

Ge2RhAu after structural relaxation (PBE, Alexandria).

Cell lengths 3.0554, 3.0554, 8.8876 Å; angles 80.10, 80.10, 60.00 degrees
Last column: nearest neighbours and their distance in Å.
Sites, in units of the cell vectors:
Ge 0.9040 0.9040 0.2881  1 Au 2.51, 3 Rh 2.55
Ge 0.0960 0.0960 0.7119  1 Au 2.51, 3 Rh 2.55
Au 0.0000 0.0000 0.0000  2 Ge 2.51
Rh 0.5000 0.5000 0.5000  6 Ge 2.55

Computed properties:
- distance to the lowest polymorph of the same formula (meV per atom) = 0
- symmetry = No. 166
- DFT formation energy (meV per atom) = -193
- energy (eV/atom) = -5.159
- crystal system = trigonal
- M_tot (μB per cell) = 0.0


No. 9
# AlPC

AlPC after structural relaxation (PBE, Alexandria).

Cell lengths 5.0849, 3.3707, 5.6998 Å; angles 90.00, 114.26, 90.00 degrees
Last column: nearest neighbours and their distance in Å.
Sites, in units of the cell vectors:
C 0.0747 0.5000 0.8098  1 P 1.77
C 0.0896 0.0000 0.2973  1 P 1.78
Al 0.9966 0.0000 0.6052  3 C 1.99-2.00
Al 0.9352 0.5000 0.0922  3 C 2.01-2.02
P 0.4492 0.0000 0.3186  1 C 1.78
P 0.4366 0.5000 0.0411  1 C 1.77

Computed properties:
- distance to the lowest polymorph of the same formula (meV per atom) = 27
- symmetry = No. 6
- DFT formation energy (meV per atom) = 13
- energy (eV/atom) = -6.113
- crystal system = monoclinic
- M_tot (μB per cell) = 0.0


No. 10
# ScAlCd

ScAlCd after structural relaxation (PBE, Alexandria).

Cell lengths 3.2625, 5.9636, 6.8900 Å; angles 76.35, 76.29, 74.11 degrees
Last column: nearest neighbours and their distance in Å.
Sites, in units of the cell vectors:
Sc 0.2919 0.7263 0.7562  4 Al 2.97-3.11, 5 Cd 3.08-3.17, 2 Sc 3.26
Sc 0.4928 0.9811 0.0996  5 Al 2.95-3.23, 4 Cd 3.02-3.04, 2 Sc 3.26
Al 0.7510 0.4674 0.0970  2 Cd 2.75-2.82, 2 Al 2.79, 3 Sc 2.95-2.97
Al 0.0322 0.6114 0.3906  2 Al 2.79, 2 Cd 2.86-2.92, 4 Sc 3.07-3.11
Cd 0.7574 0.1059 0.4450  2 Al 2.82-2.92, 2 Cd 2.91, 2 Sc 3.02
Cd 0.0239 0.2631 0.7554  2 Al 2.75-2.86, 2 Cd 2.91, 3 Sc 3.04-3.08

Computed properties:
- symmetry = No. 8
- DFT formation energy (meV per atom) = -230
- energy (eV/atom) = -3.893
- crystal system = monoclinic
- M_tot (μB per cell) = 0.0


No. 11
# TiWSCl2

TiWSCl2 after structural relaxation (PBE, Alexandria).

Cell lengths 4.8786, 4.8786, 4.6072 Å; angles 90.00, 90.00, 90.00 degrees
Last column: nearest neighbours and their distance in Å.
Sites, in units of the cell vectors:
Ti 0.5000 0.5000 0.5000  8 Cl 3.36, 4 S 3.45
S 0.0000 0.0000 0.5000  2 W 2.30
Cl 0.5000 0.0000 0.0000  2 W 2.44
Cl 0.0000 0.5000 0.0000  2 W 2.44
W 0.0000 0.0000 0.0000  2 S 2.30, 4 Cl 2.44

Computed properties:
- distance to the lowest polymorph of the same formula (meV per atom) = 110
- raw formation energy (eV per atom) = 0.480
- symmetry = No. 123
- energy (eV/atom) = -5.254
- crystal system = tetragonal
- M_tot (μB per cell) = 0.4


No. 12
# BaCa5Mg6

BaCa5Mg6 after structural relaxation (PBE, Alexandria).

Cell lengths 5.7325, 8.0119, 9.0183 Å; angles 90.00, 71.47, 90.00 degrees
Last column: nearest neighbours and their distance in Å.
Sites, in units of the cell vectors:
Mg 0.1724 0.2619 0.6552  7 Ca 3.40-3.55, 1 Ba 3.62
Mg 0.8276 0.7381 0.3448  7 Ca 3.40-3.55, 1 Ba 3.62
Mg 0.8276 0.2619 0.3448  7 Ca 3.40-3.55, 1 Ba 3.62
Mg 0.5000 0.7378 0.0000  6 Ca 3.38-3.56, 2 Ba 3.55
Mg 0.5000 0.2622 0.0000  6 Ca 3.38-3.56, 2 Ba 3.55
Mg 0.1724 0.7381 0.6552  7 Ca 3.40-3.55, 1 Ba 3.62
Ba 0.0000 0.0000 0.0000  8 Mg 3.55-3.62
Ca 0.0000 0.5000 0.0000  8 Mg 3.44-3.51
Ca 0.6632 0.5000 0.6736  8 Mg 3.38-3.45
Ca 0.6682 0.0000 0.6637  8 Mg 3.44-3.56
Ca 0.3368 0.5000 0.3264  8 Mg 3.38-3.45
Ca 0.3318 0.0000 0.3363  8 Mg 3.44-3.56

Computed properties:
- symmetry = No. 65
- DFT formation energy (meV per atom) = -66
- energy (eV/atom) = -1.857
- crystal system = orthorhombic
- M_tot (μB per cell) = 0.0


Question: The lowest energy belongs to which entry?
Answer: UCo4Mo